(1)
ErAlRe (PBE, optimized geometry); DFT total energy = -5.696 eV per atom; crystal system = cubic; total magnetization = 1.00 μB per formula unit; energy above the most stable polymorph in this dataset = 811 meV/atom
1.0
0.000 3.275 3.275
3.275 0.000 3.275
3.275 3.275 0.000
Er Al Re
1 1 1
Direct
0.000 0.000 0.000
0.750 0.750 0.750
0.250 0.250 0.250

(2)
SrTaN2O (PBE, optimized geometry); DFT total energy = -8.527 eV per atom; crystal system = trigonal; total magnetization = 0.08 μB per formula unit
1.0
5.783 0.000 0.000
-2.891 5.008 0.000
0.000 0.000 7.073
Sr Ta N O
3 3 6 3
Direct
0.000 0.677 0.333
0.323 0.323 0.000
0.677 0.000 0.667
0.000 0.657 0.833
0.343 0.343 0.500
0.657 0.000 0.167
0.158 0.501 0.663
0.343 0.842 0.996
0.499 0.657 0.329
0.501 0.158 0.337
0.657 0.499 0.671
0.842 0.343 0.004
0.000 0.152 0.333
0.152 0.000 0.667
0.848 0.848 0.000

(3)
DyZrSe2O (PBE, optimized geometry); DFT total energy = -7.146 eV per atom; crystal system = monoclinic; total magnetization = 0.25 μB per formula unit
1.0
6.013 -1.833 0.000
6.013 1.833 0.000
-0.938 0.000 9.160
Dy Zr Se O
2 2 4 2
Direct
0.226 0.226 0.325
0.774 0.774 0.675
0.000 0.000 0.000
0.500 0.500 0.500
0.072 0.072 0.717
0.347 0.347 0.910
0.653 0.653 0.090
0.928 0.928 0.283
0.333 0.333 0.554
0.667 0.667 0.446